Version one
CaSbCI2 after structural relaxation. Source: Alexandria via LeMat-Bulk, functional PBE.

Output
theoretical density	3.1	Mg/m³
N(E_F)	1.519	states/eV/atom
total magnetic moment	3.586	μB/f.u.
space-group type	P4/mmm

Unit cell a=5.9886 b=5.9886 c=6.3744 alpha=90.00 beta=90.00 gamma=90.00
Each line ends with the local moment (μB).
Sites, in units of the cell vectors:
Sb (0.0000, 0.0000, 0.5000)  0.52
I (0.5000, 0.0000, 0.0000)  0.06
Ca (0.0000, 0.0000, 0.0000)  0.00
C (0.5000, 0.5000, 0.5000)  0.97
I (0.0000, 0.5000, 0.0000)  0.06

Version two
CaSbCI2 after structural relaxation. Source: Alexandria via LeMat-Bulk, functional PBE.

Output
theoretical density	5.4	Mg/m³
N(E_F)	0.793	states/eV/atom
total magnetic moment	0.000	μB/f.u.
space-group type	P4/mmm

Unit cell a=5.1718 b=5.1718 c=4.8914 alpha=90.00 beta=90.00 gamma=90.00
Sites, in units of the cell vectors:
I (0.5000, 0.0000, 0.0000)
I (0.0000, 0.5000, 0.0000)
C (0.0000, 0.0000, 0.0000)
Sb (0.0000, 0.0000, 0.5000)
Ca (0.5000, 0.5000, 0.5000)

Which one is most stable, and which one is least stable? version two is the most stable of them, while version one is the least stable.

Version one
CaSb2CI after structural relaxation. Source: Alexandria via LeMat-Bulk, functional PBE.

Output
theoretical density	5.7	Mg/m³
N(E_F)	0.530	states/eV/atom
total magnetic moment	0.000	μB/f.u.
space-group type	P4/mmm

Unit cell a=4.8624 b=4.8624 c=5.2364 alpha=90.00 beta=90.00 gamma=90.00
Sites, in units of the cell vectors:
I (0.0000, 0.0000, 0.5000)
Sb (0.5000, 0.0000, 0.0000)
Ca (0.5000, 0.5000, 0.5000)
Sb (0.0000, 0.5000, 0.0000)
C (0.0000, 0.0000, 0.0000)

Version two
CaSb2CI after structural relaxation. Source: Alexandria via LeMat-Bulk, functional PBE.

Output
theoretical density	3.4	Mg/m³
N(E_F)	1.750	states/eV/atom
total magnetic moment	1.167	μB/f.u.
space-group type	P4/mmm

Unit cell a=5.9632 b=5.9632 c=5.8306 alpha=90.00 beta=90.00 gamma=90.00
Each line ends with the local moment (μB).
Sites, in units of the cell vectors:
Ca (0.0000, 0.0000, 0.0000)  0.00
I (0.0000, 0.0000, 0.5000)  0.03
C (0.5000, 0.5000, 0.5000)  0.95
Sb (0.0000, 0.5000, 0.0000)  -0.17
Sb (0.5000, 0.0000, 0.0000)  -0.17

Which one is most stable, and which one is least stable? version one is the most stable of them, while version two is the least stable.